Entry 1:
# CdBiI2O, optimized geometry, DFT PBE
# Symmetry   No. 123
# Energy above the lowest structure with this stoichiometry   0.0000 eV per atom
data_CdBiI2O
_chemical_formula_sum 'Cd1 Bi1 I2 O1'
_symmetry_space_group_name_H-M 'P 1'
_symmetry_Int_Tables_number 1
_cell_length_a 6.321
_cell_length_b 6.321
_cell_length_c 4.319
_cell_angle_alpha 90.00
_cell_angle_beta 90.00
_cell_angle_gamma 90.00
loop_
_symmetry_equiv_pos_as_xyz
'x,y,z'
loop_
_atom_site_label
_atom_site_fract_x
_atom_site_fract_y
_atom_site_fract_z
Cd1 0.000 0.000 0.000
Bi1 0.500 0.500 0.500
I1 0.000 0.500 0.500
I2 0.500 0.000 0.500
O1 0.500 0.500 0.000

Entry 2:
# CdBiIO2, optimized geometry, DFT PBE
# Symmetry   No. 107
data_CdBiIO2
_chemical_formula_sum 'Cd2 Bi2 I2 O4'
_symmetry_space_group_name_H-M 'P 1'
_symmetry_Int_Tables_number 1
_cell_length_a 4.023
_cell_length_b 4.023
_cell_length_c 13.358
_cell_angle_alpha 90.00
_cell_angle_beta 90.00
_cell_angle_gamma 90.00
loop_
_symmetry_equiv_pos_as_xyz
'x,y,z'
loop_
_atom_site_label
_atom_site_fract_x
_atom_site_fract_y
_atom_site_fract_z
Cd1 0.000 0.000 0.000
Cd2 0.500 0.500 0.500
Bi1 0.000 0.000 0.337
Bi2 0.500 0.500 0.837
I1 0.000 0.000 0.651
I2 0.500 0.500 0.151
O1 0.000 0.500 0.416
O2 0.000 0.500 0.916
O3 0.500 0.000 0.416
O4 0.500 0.000 0.916

Entry 3:
# Cd4BiPI2, optimized geometry, DFT PBE
# Symmetry   No. 74
data_Cd4BiPI2
_chemical_formula_sum 'Cd8 Bi2 P2 I4'
_symmetry_space_group_name_H-M 'P 1'
_symmetry_Int_Tables_number 1
_cell_length_a 9.093
_cell_length_b 9.093
_cell_length_c 9.093
_cell_angle_alpha 125.96
_cell_angle_beta 124.34
_cell_angle_gamma 81.29
loop_
_symmetry_equiv_pos_as_xyz
'x,y,z'
loop_
_atom_site_label
_atom_site_fract_x
_atom_site_fract_y
_atom_site_fract_z
Cd1 0.199 0.192 0.007
Cd2 0.276 0.240 0.464
Cd3 0.276 0.812 0.036
Cd4 0.314 0.808 0.507
Cd5 0.686 0.192 0.493
Cd6 0.724 0.188 0.964
Cd7 0.724 0.760 0.536
Cd8 0.801 0.808 0.993
Bi1 0.500 0.000 0.000
Bi2 0.500 0.500 0.500
P1 0.000 0.000 0.000
P2 0.500 0.000 0.500
I1 0.000 0.000 0.500
I2 0.000 0.500 0.000
I3 0.000 0.500 0.500
I4 0.500 0.500 0.000

Entry 4:
# RbCdBiI6, optimized geometry, DFT PBE
# Symmetry   No. 149
data_RbCdBiI6
_chemical_formula_sum 'Rb1 Cd1 Bi1 I6'
_symmetry_space_group_name_H-M 'P 1'
_symmetry_Int_Tables_number 1
_cell_length_a 7.922
_cell_length_b 7.922
_cell_length_c 8.202
_cell_angle_alpha 90.00
_cell_angle_beta 90.00
_cell_angle_gamma 120.00
loop_
_symmetry_equiv_pos_as_xyz
'x,y,z'
loop_
_atom_site_label
_atom_site_fract_x
_atom_site_fract_y
_atom_site_fract_z
Rb1 0.000 0.000 0.000
Cd1 0.667 0.333 0.500
Bi1 0.333 0.667 0.500
I1 0.376 0.008 0.718
I2 0.376 0.368 0.282
I3 0.632 0.008 0.282
I4 0.632 0.624 0.718
I5 0.992 0.368 0.718
I6 0.992 0.624 0.282

Formation energy without anion corrections, record by record: -0.2438; -0.9691; -0.1051; -0.7199 eV per atom